Cs2TlTe: optimized geometry, PBE.

```
Cs2TlTe
1.0
-5.4685 5.4685 3.7076
5.4685 -5.4685 3.7076
5.4685 5.4685 -3.7076
Cs Tl Te
4 2 2
Cartesian
-2.2026 2.7343 2.7807 Cs
7.6712 2.7343 -0.9269 Cs
2.7343 2.2026 4.6345 Cs
2.7343 3.2659 0.9269 Cs
0.0000 0.0000 0.0000 Tl
5.4685 0.0000 1.8538 Tl
0.0000 0.0000 3.7076 Te
0.0000 5.4685 1.8538 Te
```

Properties
- Relative energy among the computed polymorphs: 223 meV per atom
- Energy relative to the elements, uncorrected: -0.375 eV per atom
- Symmetry: I-42d